First-principles (GGA+U) data for a relaxed structure of AcSmWO6, as listed in the Alexandria database.

Cell lengths 5.1975, 5.7076, 5.7076 Å; angles 120.00, 90.00, 90.00 degrees
Closest atoms and distances in Å follow each position.
Atoms (fractional coordinates):
Ac 0.0000 0.3333 0.6667  6 O 2.56
Sm 0.5000 0.6667 0.3333  6 O 2.32
W 0.5000 0.0000 0.0000  6 O 1.97
O 0.7129 0.7179 0.7128  1 W 1.97
O 0.7129 0.2872 0.0051  1 W 1.97
O 0.7129 0.9949 0.2821  1 W 1.97
O 0.2871 0.2872 0.2821  1 W 1.97
O 0.2871 0.7179 0.0051  1 W 1.97
O 0.2871 0.9949 0.7128  1 W 1.97

Results
The value obtained for the magnetic moment is 0.00 μB/f.u. The space group is P312. Its volume is 147 Å³/cell. The energy comes out at -0.2926 hartree per atom. As for the crystal system: trigonal.